[1]
The following is a DFT calculation (PBE) of an optimized crystal structure of MnFeCo2.

Output
Energy above the most stable polymorph in this dataset in eV per atom: 0.269
Spin magnetization in μB/cell: 4.63
ΔE_f in eV per atom: 0.226
Space group: Fm-3m, No. 225

a b c (Å): 3.9760 3.9760 3.9760
angles (deg): 60.00 60.00 60.00
With the nearest neighbours (Å) after each atom.
Fractional coordinates of all 4 atoms:
Fe: 0.5000 0.5000 0.5000  8 Co 2.43
Mn: 0.0000 0.0000 0.0000  8 Co 2.43
Co: 0.2500 0.2500 0.2500  4 Fe 2.43, 4 Mn 2.43
Co: 0.7500 0.7500 0.7500  4 Mn 2.43, 4 Fe 2.43

[2]
The following is a DFT calculation (PBE) of an optimized crystal structure of MnFe5Co.

Output
Spin magnetization in μB/cell: 30.62
ΔE_f in eV per atom: 0.211
Space group: P-1, No. 2

a b c (Å): 4.6680 6.0912 6.2082
angles (deg): 92.32 102.49 101.47
With the nearest neighbours (Å) after each atom.
Fractional coordinates of all 14 atoms:
Fe: 0.2918 0.8364 0.4133  1 Co 2.36, 5 Fe 2.38-2.58, 1 Mn 2.47
Fe: 0.8895 0.8253 0.6227  2 Mn 2.38-2.44, 4 Fe 2.38-2.63, 2 Co 2.38-2.58
Co: 0.6879 0.8247 0.2362  7 Fe 2.35-2.58, 1 Mn 2.42
Fe: 0.1105 0.1747 0.3773  2 Mn 2.38-2.44, 4 Fe 2.38-2.63, 2 Co 2.38-2.58
Fe: 0.7195 0.5164 0.9062  5 Fe 2.44-2.68, 1 Mn 2.50, 1 Co 2.50
Co: 0.3121 0.1753 0.7638  7 Fe 2.35-2.58, 1 Mn 2.42
Fe: 0.4625 0.8341 0.8365  2 Co 2.35-2.48, 4 Fe 2.36-2.63, 1 Mn 2.48
Fe: 0.2805 0.4836 0.0938  5 Fe 2.44-2.68, 1 Mn 2.50, 1 Co 2.50
Fe: 0.1023 0.5003 0.6972  6 Fe 2.36-2.44, 1 Co 2.39, 1 Mn 2.44
Fe: 0.7082 0.1636 0.5867  1 Co 2.36, 5 Fe 2.38-2.58, 1 Mn 2.47
Mn: 0.5000 0.5000 0.5000  8 Fe 2.38-2.50
Fe: 0.8977 0.4997 0.3028  6 Fe 2.36-2.44, 1 Co 2.39, 1 Mn 2.44
Mn: 0.0000 0.0000 0.0000  2 Co 2.42, 4 Fe 2.44-2.48
Fe: 0.5375 0.1659 0.1635  2 Co 2.35-2.48, 4 Fe 2.36-2.63, 1 Mn 2.48

[3]
The following is a DFT calculation (PBE) of an optimized crystal structure of MnFeCo2.

Output
Energy above the most stable polymorph in this dataset in eV per atom: 0.120
Spin magnetization in μB/cell: 3.38
ΔE_f in eV per atom: 0.077
Space group: R3m, No. 160

a b c (Å): 8.2861 8.2861 8.2861
angles (deg): 17.19 17.19 17.19
With the nearest neighbours (Å) after each atom.
Fractional coordinates of all 4 atoms:
Mn: 0.7507 0.7507 0.7507  3 Fe 2.46, 6 Mn 2.48, 3 Co 2.52
Fe: 0.4991 0.4991 0.4991  3 Mn 2.46, 6 Fe 2.48, 3 Co 2.52
Co: 0.2507 0.2507 0.2507  9 Co 2.47-2.48, 3 Fe 2.52
Co: 0.9995 0.9995 0.9995  9 Co 2.47-2.48, 3 Mn 2.52

[4]
The following is a DFT calculation (PBE) of an optimized crystal structure of MnFeCo2.

Output
Energy above the most stable polymorph in this dataset in eV per atom: 0.000
Spin magnetization in μB/cell: 8.95
ΔE_f in eV per atom: -0.043
Space group: P4/mmm, No. 123

a b c (Å): 4.0429 4.0429 2.8488
angles (deg): 90.00 90.00 90.00
With the nearest neighbours (Å) after each atom.
Fractional coordinates of all 4 atoms:
Co: 0.5000 0.5000 0.0000  4 Mn 2.47, 4 Fe 2.47
Co: 0.0000 0.0000 0.0000  4 Mn 2.47, 4 Fe 2.47
Fe: 0.5000 0.0000 0.5000  8 Co 2.47
Mn: 0.0000 0.5000 0.5000  8 Co 2.47